# TlMo2O | the Alexandria database | GGA+U | optimized geometry
# total magnetization	1.960	μB/atom
# polymorph energy (0 for the lowest one)	0	meV per atom
# DFT total energy	-80.78	eV/cell
data_TlMo2O
_chemical_formula_sum 'Tl4 Mo8 O4'
_cell_length_a 6.148
_cell_length_b 6.148
_cell_length_c 11.599
_cell_angle_alpha 90.00
_cell_angle_beta 90.00
_cell_angle_gamma 90.00
_space_group_name_H-M_alt 'I -4 2 d'
_space_group_IT_number 122
_space_group_name_Hall 'I -4 2bw'
loop_
_atom_site_label
_atom_site_type_symbol
_atom_site_fract_x
_atom_site_fract_y
_atom_site_fract_z
Tl1 Tl 0.000 0.000 0.000
Mo1 Mo 0.004 0.250 0.625
O1 O 0.000 0.000 0.500


# TlMoO3 | the Alexandria database | GGA+U | optimized geometry
# total magnetization	0.698	μB/atom
# DFT total energy	-23.09	eV/cell
data_TlMoO3
_chemical_formula_sum 'Tl1 Mo1 O3'
_cell_length_a 4.200
_cell_length_b 4.200
_cell_length_c 4.200
_cell_angle_alpha 90.00
_cell_angle_beta 90.00
_cell_angle_gamma 90.00
_space_group_name_H-M_alt 'P m -3 m'
_space_group_IT_number 221
_space_group_name_Hall '-P 4 2 3'
loop_
_atom_site_label
_atom_site_type_symbol
_atom_site_fract_x
_atom_site_fract_y
_atom_site_fract_z
Tl1 Tl 0.000 0.000 0.000
Mo1 Mo 0.500 0.500 0.500
O1 O 0.000 0.000 0.500


# Tl2Mo7O22 | the Alexandria database | GGA+U | optimized geometry
# total magnetization	0.000	μB/atom
# DFT total energy	-839.57	eV/cell
data_Tl2Mo7O22
_chemical_formula_sum 'Tl8 Mo28 O88'
_cell_length_a 22.305
_cell_length_b 5.583
_cell_length_c 19.838
_cell_angle_alpha 90.00
_cell_angle_beta 123.66
_cell_angle_gamma 90.00
_space_group_name_H-M_alt 'C 1 2/c 1'
_space_group_IT_number 15
loop_
_space_group_symop_operation_xyz
'x,y,z'
'-x,-y,-z'
'-x,y,-z+1/2'
'x,-y,z+1/2'
'x+1/2,y+1/2,z'
'-x+1/2,-y+1/2,-z'
'-x+1/2,y+1/2,-z+1/2'
'x+1/2,-y+1/2,z+1/2'
loop_
_atom_site_label
_atom_site_type_symbol
_atom_site_fract_x
_atom_site_fract_y
_atom_site_fract_z
Tl1 Tl 0.217 0.000 0.339
Mo1 Mo 0.000 0.126 0.250
Mo2 Mo 0.050 0.396 0.638
Mo3 Mo 0.086 0.069 0.026
Mo4 Mo 0.117 0.476 0.408
O1 O 0.004 0.438 0.179
O2 O 0.022 0.069 0.697
O3 O 0.039 0.116 0.568
O4 O 0.059 0.375 0.083
O5 O 0.071 0.338 0.954
O6 O 0.089 0.159 0.468
O7 O 0.100 0.219 0.333
O8 O 0.134 0.290 0.863
O9 O 0.139 0.354 0.719
O10 O 0.175 0.098 0.106
O11 O 0.201 0.427 0.495


# Tl3MoO6 | the Alexandria database | GGA+U | optimized geometry
# total magnetization	0.000	μB/atom
# DFT total energy	-216.13	eV/cell
data_Tl3MoO6
_chemical_formula_sum 'Tl12 Mo4 O24'
_cell_length_a 8.801
_cell_length_b 14.908
_cell_length_c 6.027
_cell_angle_alpha 90.00
_cell_angle_beta 90.00
_cell_angle_gamma 90.00
_space_group_name_H-M_alt 'C m c 21'
_space_group_IT_number 36
loop_
_space_group_symop_operation_xyz
'x,y,z'
'-x,-y,z+1/2'
'-x,y,z'
'x,-y,z+1/2'
'x+1/2,y+1/2,z'
'-x+1/2,-y+1/2,z+1/2'
'-x+1/2,y+1/2,z'
'x+1/2,-y+1/2,z+1/2'
loop_
_atom_site_label
_atom_site_type_symbol
_atom_site_fract_x
_atom_site_fract_y
_atom_site_fract_z
Tl1 Tl 0.000 0.059 0.000
Tl2 Tl 0.173 0.420 0.008
Mo1 Mo 0.000 0.243 0.417
O1 O 0.000 0.199 0.134
O2 O 0.000 0.363 0.408
O3 O 0.165 0.204 0.565
O4 O 0.171 0.000 0.255


# Tl2Mo3O10 | the Alexandria database | GGA+U | optimized geometry
# total magnetization	0.030	μB/atom
# DFT total energy	-192.36	eV/cell
data_Tl2Mo3O10
_chemical_formula_sum 'Tl4 Mo6 O20'
_cell_length_a 6.114
_cell_length_b 9.328
_cell_length_c 9.962
_cell_angle_alpha 110.23
_cell_angle_beta 106.72
_cell_angle_gamma 90.81
_space_group_name_H-M_alt 'P 1'
_space_group_IT_number 1
loop_
_space_group_symop_operation_xyz
'x,y,z'
loop_
_atom_site_label
_atom_site_type_symbol
_atom_site_fract_x
_atom_site_fract_y
_atom_site_fract_z
Tl1 Tl 0.000 0.000 0.000
Tl2 Tl 0.053 0.572 0.118
Tl3 Tl 0.160 0.979 0.406
Tl4 Tl 0.285 0.705 0.717
Mo1 Mo 0.422 0.348 0.346
Mo2 Mo 0.483 0.303 0.973
Mo3 Mo 0.591 0.776 0.185
Mo4 Mo 0.698 0.907 0.567
Mo5 Mo 0.818 0.347 0.711
Mo6 Mo 0.914 0.334 0.359
O1 O 0.147 0.190 0.317
O2 O 0.199 0.479 0.420
O3 O 0.216 0.333 0.863
O4 O 0.333 0.342 0.153
O5 O 0.345 0.828 0.074
O6 O 0.440 0.920 0.622
O7 O 0.447 0.107 0.936
O8 O 0.449 0.824 0.353
O9 O 0.541 0.347 0.589
O10 O 0.571 0.569 0.103
O11 O 0.605 0.189 0.320
O12 O 0.676 0.492 0.423
O13 O 0.689 0.318 0.871
O14 O 0.789 0.328 0.168
O15 O 0.825 0.848 0.138
O16 O 0.831 0.107 0.652
O17 O 0.841 0.842 0.399
O18 O 0.861 0.807 0.673
O19 O 0.908 0.542 0.821
O20 O 0.972 0.332 0.566


# TlMoO6 | the Alexandria database | GGA+U | optimized geometry
# total magnetization	0.326	μB/atom
# DFT total energy	-125.27	eV/cell
data_TlMoO6
_chemical_formula_sum 'Tl3 Mo3 O18'
_cell_length_a 6.7240
_cell_length_b 6.7240
_cell_length_c 7.8076
_cell_angle_alpha 90.00
_cell_angle_beta 90.00
_cell_angle_gamma 120.00
_space_group_name_H-M_alt 'R -3 m'
_space_group_IT_number 166
_space_group_name_Hall '-R 3 2"'
loop_
_atom_site_label
_atom_site_type_symbol
_atom_site_fract_x
_atom_site_fract_y
_atom_site_fract_z
Tl1 Tl 0.0000 0.0000 0.0000
Mo1 Mo 0.0000 0.0000 0.5000
O1 O 0.0675 0.5338 0.3149


# Tl4Mo5O17 | the Alexandria database | GGA+U | optimized geometry
# total magnetization	0.000	μB/atom
# DFT total energy	-334.19	eV/cell
data_Tl4Mo5O17
_chemical_formula_sum 'Tl8 Mo10 O34'
_cell_length_a 7.968
_cell_length_b 11.095
_cell_length_c 11.130
_cell_angle_alpha 75.72
_cell_angle_beta 81.56
_cell_angle_gamma 81.11
_space_group_name_H-M_alt 'P -1'
_space_group_IT_number 2
loop_
_space_group_symop_operation_xyz
'x,y,z'
'-x,-y,-z'
loop_
_atom_site_label
_atom_site_type_symbol
_atom_site_fract_x
_atom_site_fract_y
_atom_site_fract_z
Tl1 Tl 0.090 0.102 0.201
Tl2 Tl 0.269 0.582 0.898
Tl3 Tl 0.375 0.831 0.530
Tl4 Tl 0.410 0.731 0.217
Mo1 Mo 0.097 0.253 0.814
Mo2 Mo 0.136 0.193 0.524
Mo3 Mo 0.188 0.428 0.275
Mo4 Mo 0.190 0.487 0.568
Mo5 Mo 0.392 0.945 0.835
O1 O 0.001 0.811 0.323
O2 O 0.006 0.139 0.439
O3 O 0.008 0.576 0.278
O4 O 0.021 0.392 0.459
O5 O 0.077 0.767 0.070
O6 O 0.079 0.361 0.186
O7 O 0.223 0.083 0.846
O8 O 0.242 0.318 0.877
O9 O 0.263 0.314 0.622
O10 O 0.291 0.522 0.411
O11 O 0.293 0.279 0.374
O12 O 0.299 0.068 0.565
O13 O 0.299 0.560 0.649
O14 O 0.312 0.832 0.774
O15 O 0.352 0.495 0.167
O16 O 0.417 0.007 0.256
O17 O 0.446 0.869 0.984


# TmTl2MoO6 | the Alexandria database | GGA+U | optimized geometry
# total magnetization	0.000	μB/atom
# DFT total energy	-61.78	eV/cell
data_TmTl2MoO6
_chemical_formula_sum 'Tm1 Tl2 Mo1 O6'
_cell_length_a 6.4987
_cell_length_b 6.4987
_cell_length_c 5.8228
_cell_angle_alpha 90.00
_cell_angle_beta 90.00
_cell_angle_gamma 120.00
_space_group_name_H-M_alt 'P -3 m 1'
_space_group_IT_number 164
_space_group_name_Hall '-P 3 2"'
loop_
_atom_site_label
_atom_site_type_symbol
_atom_site_fract_x
_atom_site_fract_y
_atom_site_fract_z
Tm1 Tm 0.0000 0.0000 0.0000
Tl1 Tl 0.3333 0.6667 0.5450
Mo1 Mo 0.0000 0.0000 0.5000
O1 O 0.1349 0.2698 0.7123


# Tm2Tl2MoO6 | the Alexandria database | GGA+U | optimized geometry
# total magnetization	0.182	μB/atom
# DFT total energy	-149.92	eV/cell
data_Tm2Tl2MoO6
_chemical_formula_sum 'Tm4 Tl4 Mo2 O12'
_cell_length_a 5.834
_cell_length_b 9.954
_cell_length_c 6.822
_cell_angle_alpha 90.00
_cell_angle_beta 106.31
_cell_angle_gamma 90.00
_space_group_name_H-M_alt 'C 1 2/m 1'
_space_group_IT_number 12
loop_
_space_group_symop_operation_xyz
'x,y,z'
'-x,-y,-z'
'-x,y,-z'
'x,-y,z'
'x+1/2,y+1/2,z'
'-x+1/2,-y+1/2,-z'
'-x+1/2,y+1/2,-z'
'x+1/2,-y+1/2,z'
loop_
_atom_site_label
_atom_site_type_symbol
_atom_site_fract_x
_atom_site_fract_y
_atom_site_fract_z
Tm1 Tm 0.000 0.165 0.000
Tl1 Tl 0.000 0.335 0.500
Mo1 Mo 0.000 0.500 0.000
O1 O 0.208 0.343 0.159
O2 O 0.235 0.000 0.170


# Tm3Tl3MoO8 | the Alexandria database | GGA+U | optimized geometry
# total magnetization	0.133	μB/atom
# DFT total energy	-202.86	eV/cell
data_Tm3Tl3MoO8
_chemical_formula_sum 'Tm6 Tl6 Mo2 O16'
_cell_length_a 11.748
_cell_length_b 6.713
_cell_length_c 7.604
_cell_angle_alpha 90.00
_cell_angle_beta 120.49
_cell_angle_gamma 90.00
_space_group_name_H-M_alt 'C 1 2/m 1'
_space_group_IT_number 12
loop_
_space_group_symop_operation_xyz
'x,y,z'
'-x,-y,-z'
'-x,y,-z'
'x,-y,z'
'x+1/2,y+1/2,z'
'-x+1/2,-y+1/2,-z'
'-x+1/2,y+1/2,-z'
'x+1/2,-y+1/2,z'
loop_
_atom_site_label
_atom_site_type_symbol
_atom_site_fract_x
_atom_site_fract_y
_atom_site_fract_z
Tm1 Tm 0.000 0.000 0.000
Tm2 Tm 0.250 0.250 0.000
Tl1 Tl 0.000 0.500 0.500
Tl2 Tl 0.250 0.250 0.500
Mo1 Mo 0.000 0.500 0.000
O1 O 0.025 0.268 0.839
O2 O 0.215 0.500 0.165
O3 O 0.220 0.000 0.165


# UTl2MoO6 | the Alexandria database | GGA+U | optimized geometry
# total magnetization	0.200	μB/atom
# DFT total energy	-144.69	eV/cell
data_UTl2MoO6
_chemical_formula_sum 'U2 Tl4 Mo2 O12'
_cell_length_a 5.959
_cell_length_b 5.959
_cell_length_c 8.462
_cell_angle_alpha 90.00
_cell_angle_beta 90.00
_cell_angle_gamma 90.00
_space_group_name_H-M_alt 'I 4/m m m'
_space_group_IT_number 139
_space_group_name_Hall '-I 4 2'
loop_
_atom_site_label
_atom_site_type_symbol
_atom_site_fract_x
_atom_site_fract_y
_atom_site_fract_z
U1 U 0.000 0.000 0.000
Tl1 Tl 0.000 0.500 0.250
Mo1 Mo 0.000 0.000 0.500
O1 O 0.000 0.000 0.243
O2 O 0.244 0.244 0.500


# UTl2Mo3O12 | the Alexandria database | GGA+U | optimized geometry
# total magnetization	0.111	μB/atom
# DFT total energy	-387.72	eV/cell
data_UTl2Mo3O12
_chemical_formula_sum 'U3 Tl6 Mo9 O36'
_cell_length_a 7.4165
_cell_length_b 7.4165
_cell_length_c 19.0310
_cell_angle_alpha 90.00
_cell_angle_beta 90.00
_cell_angle_gamma 120.00
_space_group_name_H-M_alt 'R -3 m'
_space_group_IT_number 166
_space_group_name_Hall '-R 3 2"'
loop_
_atom_site_label
_atom_site_type_symbol
_atom_site_fract_x
_atom_site_fract_y
_atom_site_fract_z
U1 U 0.0000 0.0000 0.0000
Tl1 Tl 0.0000 0.0000 0.3359
Mo1 Mo 0.0000 0.5000 0.5000
O1 O 0.0656 0.5328 0.6036
O2 O 0.0895 0.5447 0.8482